Computed, not measured: a relaxed structure of In2SiNi at the GGA-PBE level of DFT.

Structure (CIF):
```
data_In2SiNi
_chemical_formula_sum 'In4 Si2 Ni2'
_cell_length_a 4.131
_cell_length_b 4.131
_cell_length_c 8.656
_cell_angle_alpha 90.00
_cell_angle_beta 90.00
_cell_angle_gamma 90.00
_space_group_name_H-M_alt 'I -4 m 2'
_space_group_IT_number 119
_space_group_name_Hall 'I -4 -2'
loop_
_atom_site_label
_atom_site_fract_x
_atom_site_fract_y
_atom_site_fract_z
_atom_site_occupancy
In1 0.000 0.000 0.000 1
In2 0.000 0.500 0.250 1
Si1 0.000 0.000 0.500 1
Ni1 0.000 0.500 0.750 1
```

Computed properties:
total moment: 0.00 μB per formula unit
raw total energy: -3.8250 eV per atom
Fermi-level density of states: 0.591 states/eV/atom
raw formation energy: 1.38 eV/f.u.